# 1
Here is Mg2NiP after structural relaxation from Alexandria via LeMat-Bulk. Energies are from PBE.

Properties
Calculated formation energy (kJ/mol of atoms): 2.4
E (eV per atom): -3.57
Space-group type: R-3m, No. 166

Cell lengths 8.466, 8.466, 8.466 Å; angles 20.29, 20.29, 20.29 degrees
Element x y z (fractional)
P 0.750 0.750 0.750
Mg 0.995 0.995 0.995
Mg 0.505 0.505 0.505
Ni 0.250 0.250 0.250

=====

# 2
Here is MgNiP2 after structural relaxation from Alexandria via LeMat-Bulk. Energies are from PBE.

Properties
Calculated formation energy (kJ/mol of atoms): -12.9
E (eV per atom): -4.68
Space-group type: Immm, No. 71

Cell lengths 4.450, 4.450, 4.450 Å; angles 127.20, 104.27, 98.56 degrees
Element x y z (fractional)
P 0.442 0.442 0.000
Ni 0.250 0.750 0.500
P 0.058 0.058 0.000
Mg 0.750 0.250 0.500

=====

# 3
Here is MgNiP2 after structural relaxation from Alexandria via LeMat-Bulk. Energies are from PBE.

Properties
Calculated formation energy (kJ/mol of atoms): -10.8
E (eV per atom): -4.66
Space-group type: I-42d, No. 122

Cell lengths 5.973, 5.973, 5.986 Å; angles 60.07, 60.07, 90.00 degrees
Element x y z (fractional)
Mg 0.500 0.500 0.000
Mg 0.250 0.750 0.500
P 0.375 0.314 0.750
P 0.686 0.125 0.250
P 0.875 0.936 0.750
Ni 0.000 0.000 0.000
P 0.064 0.625 0.250
Ni 0.750 0.250 0.500

=====

# 4
Here is MgNiP2 after structural relaxation from Alexandria via LeMat-Bulk. Energies are from PBE.

Properties
Calculated formation energy (kJ/mol of atoms): -2.6
E (eV per atom): -4.58
Space-group type: C2/m, No. 12

Cell lengths 6.348, 4.189, 3.342 Å; angles 92.27, 54.64, 121.79 degrees
Element x y z (fractional)
Mg 0.000 0.500 0.500
P 0.000 0.000 0.000
P 0.500 0.000 0.500
Ni 0.500 0.500 0.000

=====

# 5
Here is MgNi2P after structural relaxation from Alexandria via LeMat-Bulk. Energies are from PBE.

Properties
Calculated formation energy (kJ/mol of atoms): -5.9
E (eV per atom): -4.70
Space-group type: F-43m, No. 216

Cell lengths 4.157, 4.157, 4.157 Å; angles 60.00, 60.00, 60.00 degrees
Element x y z (fractional)
Mg 0.500 0.500 0.500
P 0.750 0.750 0.750
Ni 0.000 0.000 0.000
Ni 0.250 0.250 0.250

=====

# 6
Here is MgNiP2 after structural relaxation from Alexandria via LeMat-Bulk. Energies are from PBE.

Properties
Calculated formation energy (kJ/mol of atoms): -6.6
E (eV per atom): -4.62
Space-group type: P4mm, No. 99

Cell lengths 3.264, 3.264, 5.638 Å; angles 90.00, 90.00, 90.00 degrees
Element x y z (fractional)
Mg 0.000 0.000 0.471
Ni 0.500 0.500 0.847
P 0.500 0.500 0.245
P 0.000 0.000 0.937